Crystalline NiAsRu2 at its relaxed geometry. Source: the Alexandria database, functional GGA-PBE.

Lattice parameters (Å, degrees): 2.7956 2.7956 8.1915 90.00 90.00 117.26
Last column: nearest neighbours and their distance in Å.
Element x y z (fractional)
Ru 0.0000 0.0000 0.0048  2 As 2.48, 2 Ni 2.54
Ru 0.0000 0.0000 0.4952  2 As 2.48, 2 Ni 2.54
As 0.5000 0.5000 0.2500  4 Ru 2.48
Ni 0.5000 0.5000 0.7500  4 Ru 2.54, 4 Ni 2.80

Calculated values
V (Å³/cell): 57
Magnetization (μB/f.u.): 0.04
Formation enthalpy at 0 K (meV/atom): 454
Symmetry: Cmmm, No. 65

Crystalline HRuRhO2 at its relaxed geometry. Source: the Alexandria database, functional GGA-PBE.

Lattice parameters (Å, degrees): 3.6292 5.3515 3.6292 90.00 90.00 90.00
Last column: nearest neighbours and their distance in Å.
Element x y z (fractional)
Rh 0.0000 0.5000 0.0000  4 H 2.57, 2 Ru 2.68
O 0.0000 0.0000 0.5000  2 Ru 1.81
O 0.5000 0.0000 0.0000  2 Ru 1.81
H 0.5000 0.5000 0.5000  4 Rh 2.57
Ru 0.0000 0.0000 0.0000  4 O 1.81

Calculated values
V (Å³/cell): 70
Magnetization (μB/f.u.): 0.80
Symmetry: P4/mmm, No. 123

Crystalline HgRuBr2 at its relaxed geometry. Source: the Alexandria database, functional GGA-PBE.

Lattice parameters (Å, degrees): 3.3132 3.3132 8.7075 90.00 90.00 90.00
Last column: nearest neighbours and their distance in Å.
Element x y z (fractional)
Br 0.0000 0.0000 0.9155  4 Ru 2.78
Br 0.5000 0.5000 0.3083  4 Hg 3.05, 4 Br 3.31
Ru 0.5000 0.5000 0.7429  4 Br 2.78, 4 Hg 2.97
Hg 0.0000 0.0000 0.5333  4 Ru 2.97, 4 Br 3.05, 4 Hg 3.31

Calculated values
V (Å³/cell): 96
Magnetization (μB/f.u.): 2.08
Symmetry: P4mm, No. 99
Formation energy from raw total energies (kJ/mol of atoms): 41.30
Excess energy over the best structure of this formula in the dataset (meV/atom): 458

Crystalline PdAu2O4 at its relaxed geometry. Source: the Alexandria database, functional GGA-PBE.

Lattice parameters (Å, degrees): 5.6632 5.6632 5.6632 112.23 112.23 104.08
Last column: nearest neighbours and their distance in Å.
Element x y z (fractional)
O 0.1880 0.5013 0.6893  1 Pd 1.97, 2 Au 2.11
O 0.4987 0.1880 0.6867  1 Pd 1.97, 2 Au 2.11
O 0.5013 0.8120 0.3133  1 Pd 1.97, 2 Au 2.11
O 0.8120 0.4987 0.3107  1 Pd 1.97, 2 Au 2.11
Au 0.7500 0.2500 0.5000  4 O 2.11
Au 0.2500 0.7500 0.5000  4 O 2.11
Pd 0.5000 0.5000 0.0000  4 O 1.97

Calculated values
V (Å³/cell): 139
Magnetization (μB/f.u.): 0.00
Symmetry: I4/m, No. 87
Formation energy from raw total energies (kJ/mol of atoms): 16.93

Crystalline CeY2Ho3Er6 at its relaxed geometry. Source: the Alexandria database, functional GGA-PBE.

Lattice parameters (Å, degrees): 6.1056 6.1056 11.6805 95.00 95.00 119.96
Last column: nearest neighbours and their distance in Å.
Element x y z (fractional)
Er 0.5853 0.9159 0.7489  6 Er 3.50-3.54, 3 Ho 3.51-3.52, 1 Ce 3.52, 2 Y 3.54
Er 0.0841 0.4147 0.2511  6 Er 3.50-3.54, 3 Ho 3.51-3.52, 1 Ce 3.52, 2 Y 3.54
Er 0.7534 0.7534 0.2513  6 Er 3.50-3.54, 3 Ho 3.51-3.52, 1 Ce 3.53, 2 Y 3.54
Er 0.9159 0.5853 0.7489  6 Er 3.50-3.54, 3 Ho 3.51-3.52, 1 Ce 3.52, 2 Y 3.54
Er 0.4147 0.0841 0.2511  6 Er 3.50-3.54, 3 Ho 3.51-3.52, 1 Ce 3.52, 2 Y 3.54
Er 0.2466 0.2466 0.7487  6 Er 3.50-3.54, 3 Ho 3.51-3.52, 1 Ce 3.53, 2 Y 3.54
Ho 0.8325 0.1675 0.5000  6 Er 3.51-3.52, 6 Ho 3.52-3.54
Ho 0.1675 0.8325 0.5000  6 Er 3.51-3.52, 6 Ho 3.52-3.54
Ho 0.5000 0.5000 0.5000  6 Er 3.51-3.52, 6 Ho 3.52-3.53
Y 0.3334 0.6666 0.0000  3 Y 3.52-3.53, 3 Ce 3.52-3.53, 6 Er 3.54
Y 0.6666 0.3334 0.0000  3 Y 3.52-3.53, 3 Ce 3.52-3.53, 6 Er 3.54
Ce 0.0000 0.0000 0.0000  6 Er 3.52-3.53, 6 Y 3.52-3.53

Calculated values
V (Å³/cell): 371
Magnetization (μB/f.u.): 1.10
Formation enthalpy at 0 K (meV/atom): 40
Symmetry: C2/m, No. 12

Crystalline Cs5Sb2Pb at its relaxed geometry. Source: the Alexandria database, functional GGA-PBE.

Lattice parameters (Å, degrees): 6.5948 6.5948 11.7908 73.76 73.76 60.00
Last column: nearest neighbours and their distance in Å.
Element x y z (fractional)
Pb 0.0000 0.0000 0.0000  2 Sb 3.20
Cs 0.5000 0.5000 0.5000  8 Cs 4.21-4.22, 6 Sb 4.49
Cs 0.7792 0.7792 0.6623  4 Sb 3.85-4.19, 3 Cs 4.22
Cs 0.3744 0.3744 0.8769  3 Pb 4.05, 4 Cs 4.21-4.50, 3 Sb 4.22
Cs 0.6256 0.6256 0.1231  3 Pb 4.05, 4 Cs 4.21-4.50, 3 Sb 4.22
Cs 0.2208 0.2208 0.3377  4 Sb 3.85-4.19, 3 Cs 4.22
Sb 0.9045 0.9045 0.2865  1 Pb 3.20
Sb 0.0955 0.0955 0.7135  1 Pb 3.20

Calculated values
V (Å³/cell): 420
Magnetization (μB/f.u.): 1.60
Symmetry: R-3m, No. 166
Formation energy from raw total energies (kJ/mol of atoms): -23.43

Crystalline SrSi2PbF at its relaxed geometry. Source: the Alexandria database, functional GGA-PBE.

Lattice parameters (Å, degrees): 6.1877 4.4104 6.1877 90.00 90.00 90.00
Last column: nearest neighbours and their distance in Å.
Element x y z (fractional)
F 0.0000 0.5000 0.0000  2 Sr 2.21
Si 0.0000 0.0000 0.5000  2 Sr 3.09
Si 0.5000 0.0000 0.0000  2 Sr 3.09
Sr 0.0000 0.0000 0.0000  2 F 2.21
Pb 0.5000 0.5000 0.5000  8 Si 3.80

Calculated values
V (Å³/cell): 169
Magnetization (μB/f.u.): 0.46
Symmetry: P4/mmm, No. 123
Formation energy from raw total energies (kJ/mol of atoms): 0.43

Crystalline CrSiAs2Se at its relaxed geometry. Source: the Alexandria database, functional GGA-PBE.

Lattice parameters (Å, degrees): 4.7052 4.7052 4.7622 90.00 90.00 90.00
Last column: nearest neighbours and their distance in Å.
Element x y z (fractional)
Cr 0.5000 0.5000 0.5000  4 Se 3.33, 8 As 3.35
Se 0.0000 0.0000 0.5000  2 Si 2.38
As 0.5000 0.0000 0.0000  2 Si 2.35
As 0.0000 0.5000 0.0000  2 Si 2.35
Si 0.0000 0.0000 0.0000  4 As 2.35, 2 Se 2.38

Calculated values
V (Å³/cell): 105
Magnetization (μB/f.u.): 0.34
Symmetry: P4/mmm, No. 123
Formation energy from raw total energies (kJ/mol of atoms): 107.41
Excess energy over the best structure of this formula in the dataset (meV/atom): 520

Crystalline Tm2Mg2Ru at its relaxed geometry. Source: the Alexandria database, functional GGA-PBE.

Lattice parameters (Å, degrees): 3.3769 3.3769 10.4505 99.30 99.30 90.00
Last column: nearest neighbours and their distance in Å.
Element x y z (fractional)
Tm 0.4201 0.4201 0.8401  4 Ru 2.89
Tm 0.5799 0.5799 0.1599  4 Ru 2.89
Mg 0.2015 0.2015 0.4031  8 Mg 3.10-3.38, 4 Tm 3.44
Mg 0.7985 0.7985 0.5969  8 Mg 3.10-3.38, 4 Tm 3.44
Ru 0.0000 0.0000 0.0000  8 Tm 2.89

Calculated values
V (Å³/cell): 116
Magnetization (μB/f.u.): 0.00
Formation enthalpy at 0 K (meV/atom): -298
Symmetry: I4/mmm, No. 139

Crystalline Li2MoSe at its relaxed geometry. Source: the Alexandria database, functional GGA-PBE.

Lattice parameters (Å, degrees): 5.7181 5.2116 2.7836 90.00 60.87 114.75
Last column: nearest neighbours and their distance in Å.
Element x y z (fractional)
Li 0.5000 0.0000 0.5000  4 Li 2.50-2.78
Li 0.0000 0.0000 0.0000  4 Li 2.50-2.78
Mo 0.0000 0.5000 0.5000  2 Se 2.50, 2 Mo 2.78
Se 0.5000 0.5000 0.0000  2 Mo 2.50, 2 Se 2.78

Calculated values
V (Å³/cell): 64
Magnetization (μB/f.u.): 0.00
Symmetry: Cmmm, No. 65
Formation energy from raw total energies (kJ/mol of atoms): 5.09

Crystalline YZr2BeFe at its relaxed geometry. Source: the Alexandria database, functional GGA-PBE.

Lattice parameters (Å, degrees): 5.1749 4.4717 5.1749 90.00 90.00 90.00
Last column: nearest neighbours and their distance in Å.
Element x y z (fractional)
Y 0.0000 0.0000 0.0000  2 Fe 2.24
Zr 0.0000 0.0000 0.5000  2 Y 2.59
Zr 0.5000 0.0000 0.0000  2 Y 2.59
Fe 0.0000 0.5000 0.0000  2 Y 2.24
Be 0.5000 0.5000 0.5000  8 Zr 3.42, 4 Fe 3.66

Calculated values
V (Å³/cell): 120
Magnetization (μB/f.u.): 1.26
Formation enthalpy at 0 K (meV/atom): 1790
Symmetry: P4/mmm, No. 123

Crystalline SiTe3Os at its relaxed geometry. Source: the Alexandria database, functional GGA-PBE.

Lattice parameters (Å, degrees): 5.0277 5.0277 5.0277 90.00 90.00 90.00
Last column: nearest neighbours and their distance in Å.
Element x y z (fractional)
Os 0.5000 0.5000 0.5000  12 Te 3.56
Te 0.0000 0.0000 0.5000  2 Si 2.51
Te 0.5000 0.0000 0.0000  2 Si 2.51
Te 0.0000 0.5000 0.0000  2 Si 2.51
Si 0.0000 0.0000 0.0000  6 Te 2.51

Calculated values
V (Å³/cell): 127
Magnetization (μB/f.u.): 0.00
Symmetry: Pm-3m, No. 221
Formation energy from raw total energies (kJ/mol of atoms): 144.38
Excess energy over the best structure of this formula in the dataset (meV/atom): 506

Crystalline NaNd2Te at its relaxed geometry. Source: the Alexandria database, functional GGA-PBE.

Lattice parameters (Å, degrees): 4.0807 4.0807 7.3207 90.00 90.00 90.00
Last column: nearest neighbours and their distance in Å.
Element x y z (fractional)
Nd 0.0000 0.0000 0.7624  4 Te 3.37, 4 Na 3.47, 1 Nd 3.48
Nd 0.0000 0.0000 0.2376  4 Te 3.37, 4 Na 3.47, 1 Nd 3.48
Na 0.5000 0.5000 0.5000  8 Nd 3.47, 2 Te 3.66
Te 0.5000 0.5000 0.0000  8 Nd 3.37, 2 Na 3.66

Calculated values
V (Å³/cell): 122
Magnetization (μB/f.u.): 0.01
Symmetry: P4/mmm, No. 123
Formation energy from raw total energies (kJ/mol of atoms): -46.20

Crystalline VPW at its relaxed geometry. Source: the Alexandria database, functional GGA-PBE.

Lattice parameters (Å, degrees): 3.1585 3.1585 4.6697 109.77 109.77 90.00
Last column: nearest neighbours and their distance in Å.
Element x y z (fractional)
V 0.6754 0.6754 0.3508  5 P 2.57-2.82, 5 W 2.61-2.69
W 0.9934 0.9934 0.9867  5 P 2.60-2.77, 5 V 2.61-2.69
P 0.3312 0.3312 0.6625  5 V 2.57-2.82, 5 W 2.60-2.77

Calculated values
V (Å³/cell): 41
Magnetization (μB/f.u.): 0.00
Formation enthalpy at 0 K (meV/atom): -150
Symmetry: I4mm, No. 107
Excess energy over the best structure of this formula in the dataset (meV/atom): 247

Crystalline KAl2Cl at its relaxed geometry. Source: the Alexandria database, functional GGA-PBE.

Lattice parameters (Å, degrees): 4.2719 3.2915 9.3726 58.22 90.00 90.00
Last column: nearest neighbours and their distance in Å.
Element x y z (fractional)
Cl 0.0000 0.4246 0.5087  1 Al 2.48
Al 0.0000 0.8910 0.1975  1 Cl 2.48
Al 0.5000 0.5264 0.1072  4 Al 2.79
K 0.5000 0.6581 0.6865  4 Cl 3.05, 2 K 3.29

Calculated values
V (Å³/cell): 112
Magnetization (μB/f.u.): 0.00
Symmetry: Amm2, No. 38
Formation energy from raw total energies (kJ/mol of atoms): -43.08
Excess energy over the best structure of this formula in the dataset (meV/atom): 0

Crystalline Nd2ScTe4 at its relaxed geometry. Source: the Alexandria database, functional GGA-PBE.

Lattice parameters (Å, degrees): 4.2011 7.6539 15.1183 90.00 90.00 105.93
Last column: nearest neighbours and their distance in Å.
Element x y z (fractional)
Te 0.0131 0.0262 0.2500  2 Sc 3.00, 2 Nd 3.17
Te 0.2139 0.4279 0.6273  2 Sc 3.05, 3 Nd 3.18-3.29
Te 0.7861 0.5721 0.1273  2 Sc 3.05, 3 Nd 3.18-3.29
Te 0.2139 0.4279 0.8727  2 Sc 3.05, 3 Nd 3.18-3.29
Te 0.5000 0.0000 0.0000  4 Nd 3.08
Te 0.9869 0.9738 0.7500  2 Sc 3.00, 2 Nd 3.17
Te 0.5000 0.0000 0.5000  4 Nd 3.08
Te 0.7861 0.5721 0.3727  2 Sc 3.05, 3 Nd 3.18-3.29
Nd 0.8675 0.7350 0.9248  6 Te 3.08-3.29
Nd 0.1325 0.2650 0.0752  6 Te 3.08-3.29
Nd 0.8675 0.7350 0.5752  6 Te 3.08-3.29
Nd 0.1325 0.2650 0.4248  6 Te 3.08-3.29
Sc 0.6326 0.2653 0.7500  6 Te 3.00-3.05
Sc 0.3674 0.7347 0.2500  6 Te 3.00-3.05

Calculated values
V (Å³/cell): 467
Magnetization (μB/f.u.): 0.00
Symmetry: Cmcm, No. 63
Formation energy from raw total energies (kJ/mol of atoms): -121.85

Crystalline LaIBr2 at its relaxed geometry. Source: the Alexandria database, functional GGA-PBE.

Lattice parameters (Å, degrees): 5.5122 5.5122 5.5122 60.00 60.00 60.00
Last column: nearest neighbours and their distance in Å.
Element x y z (fractional)
Br 0.7500 0.7500 0.7500  4 La 3.38, 4 I 3.38
Br 0.2500 0.2500 0.2500  4 La 3.38, 4 I 3.38
La 0.5000 0.5000 0.5000  8 Br 3.38
I 0.0000 0.0000 0.0000  8 Br 3.38

Calculated values
V (Å³/cell): 118
Magnetization (μB/f.u.): 0.00
Symmetry: Fm-3m, No. 225
Formation energy from raw total energies (kJ/mol of atoms): -130.76
Excess energy over the best structure of this formula in the dataset (meV/atom): 477

Crystalline Nb2Ni15Ge2 at its relaxed geometry. Source: the Alexandria database, functional GGA-PBE.

Lattice parameters (Å, degrees): 6.5319 6.5317 6.5318 70.44 70.44 70.44
Last column: nearest neighbours and their distance in Å.
Element x y z (fractional)
Ni 0.4395 0.4395 0.7957  4 Ni 2.30
Ni 0.0000 0.2960 0.7040  4 Ni 2.23-2.30
Ni 0.0000 0.0000 0.5000  2 Ge 2.40, 4 Ni 2.68
Ni 0.7957 0.4395 0.4395  4 Ni 2.30
Ni 0.2043 0.5605 0.5605  4 Ni 2.30
Ni 0.4395 0.7957 0.4395  4 Ni 2.30
Ni 0.7040 0.0000 0.2960  4 Ni 2.23-2.30
Ni 0.5605 0.2043 0.5605  4 Ni 2.30
Ni 0.5605 0.5605 0.2043  4 Ni 2.30
Ni 0.5000 0.0000 0.0000  2 Ge 2.40, 4 Ni 2.68
Ni 0.2960 0.0000 0.7040  4 Ni 2.23-2.30
Ni 0.0000 0.5000 0.0000  2 Ge 2.40, 4 Ni 2.68
Ni 0.0000 0.7040 0.2960  4 Ni 2.23-2.30
Ni 0.7040 0.2960 0.0000  4 Ni 2.23-2.30
Ni 0.2960 0.7040 0.0000  4 Ni 2.23-2.30
Nb 0.2936 0.2936 0.2936  15 Ni 2.66-2.98, 1 Ge 2.87
Nb 0.7064 0.7064 0.7064  15 Ni 2.66-2.98, 1 Ge 2.87
Ge 0.9025 0.9025 0.9025  9 Ni 2.40-2.65
Ge 0.0975 0.0975 0.0975  9 Ni 2.40-2.65

Calculated values
V (Å³/cell): 240
Magnetization (μB/f.u.): 0.00
Formation enthalpy at 0 K (meV/atom): 100
Symmetry: R-3m, No. 166

Crystalline SmMg2Zn9 at its relaxed geometry. Source: the Alexandria database, functional GGA-PBE.

Lattice parameters (Å, degrees): 5.3153 5.3153 8.9477 72.72 72.72 60.00
Last column: nearest neighbours and their distance in Å.
Element x y z (fractional)
Zn 0.5881 0.5881 0.7437  7 Zn 2.57-2.70
Zn 0.4119 0.9200 0.2563  7 Zn 2.57-2.70
Zn 0.9200 0.4119 0.2563  7 Zn 2.57-2.70
Zn 0.4119 0.4119 0.2563  7 Zn 2.57-2.70
Zn 0.0800 0.5881 0.7437  7 Zn 2.57-2.70
Zn 0.5000 0.5000 0.5000  6 Zn 2.57
Zn 0.5881 0.0800 0.7437  7 Zn 2.57-2.70
Zn 0.6664 0.6664 0.0007  6 Zn 2.63-2.65
Zn 0.3336 0.3336 0.9993  6 Zn 2.63-2.65
Sm 0.0000 0.0000 0.0000  18 Zn 3.07-3.42
Mg 0.1411 0.1411 0.5766  12 Zn 3.01-3.14, 3 Mg 3.33
Mg 0.8589 0.8589 0.4234  12 Zn 3.01-3.14, 3 Mg 3.33

Calculated values
V (Å³/cell): 206
Magnetization (μB/f.u.): 0.00
Formation enthalpy at 0 K (meV/atom): -202
Symmetry: R-3m, No. 166
Excess energy over the best structure of this formula in the dataset (meV/atom): 0

Crystalline VCrSe3 at its relaxed geometry. Source: the Alexandria database, functional GGA-PBE.

Lattice parameters (Å, degrees): 6.4313 6.4313 6.7411 61.51 61.51 60.00
Last column: nearest neighbours and their distance in Å.
Element x y z (fractional)
Cr 0.6584 0.6584 0.0248  6 Se 2.53-2.56
Cr 0.3416 0.3416 0.9752  6 Se 2.53-2.56
Se 0.7506 0.4307 0.7509  2 Cr 2.53-2.56, 2 V 2.55
Se 0.4307 0.0678 0.7509  2 Cr 2.53-2.56, 2 V 2.55
Se 0.2494 0.5693 0.2491  2 Cr 2.53-2.56, 2 V 2.55
Se 0.0678 0.7506 0.7509  2 Cr 2.53-2.56, 2 V 2.55
Se 0.9322 0.2494 0.2491  2 Cr 2.53-2.56, 2 V 2.55
Se 0.5693 0.9322 0.2491  2 Cr 2.53-2.56, 2 V 2.55
V 0.8396 0.8396 0.4813  6 Se 2.55
V 0.1604 0.1604 0.5187  6 Se 2.55

Calculated values
V (Å³/cell): 202
Magnetization (μB/f.u.): 5.01
Symmetry: R-3, No. 148
Formation energy from raw total energies (kJ/mol of atoms): -56.08
Excess energy over the best structure of this formula in the dataset (meV/atom): 24

Here are the calculated raw total energy numbers, same order: -6.79, -5.71, -2.80, -4.34, -4.96, -2.27, -3.62, -4.45, -4.58, -4.48, -5.36, -3.72, -3.98, -9.31, -3.05, -5.32, -3.81, -6.01, -1.82, -6.42 (eV per atom).